A plane-wave DFT calculation with PBE-GGA was carried out for Ca3TbEr2Te6 after structural relaxation.

abc: 7.597 13.143 7.735
angles: 90.00 109.13 90.00
Space group C2/m (No. 12)
One atom of each set of equivalent atoms:
Ca 0.000 0.000 0.000 x2
Ca 0.000 0.335 0.000 x4
Tb 0.000 0.500 0.500 x2
Er 0.000 0.167 0.500 x4
Te 0.244 0.000 0.743 x4
Te 0.250 0.168 0.256 x8

Properties
crystal system: monoclinic
Fermi-level density of states: 4.90 states/eV/f.u.
E_form (uncorrected): -1.4372 eV/atom
magnetic moment: 0.0 μB per formula unit